(1)
Entry from the Alexandria database: a geometry-optimized SmY7Sc2 structure (PBE).

The calculation puts the density at 4.7 g/cm3. The calculation puts the formation enthalpy at 0 K at 0.045 eV per atom.

```
data_SmY7Sc2
_chemical_formula_sum 'Sm1 Y7 Sc2'
_cell_length_a 6.0880
_cell_length_b 7.0292
_cell_length_c 7.8632
_cell_angle_alpha 77.16
_cell_angle_beta 75.01
_cell_angle_gamma 73.37
_space_group_name_H-M_alt 'P -1'
_space_group_IT_number 2
loop_
_space_group_symop_operation_xyz
'x,y,z'
'-x,-y,-z'
loop_
_atom_site_label
_atom_site_fract_x
_atom_site_fract_y
_atom_site_fract_z
Sm1 0.0000 0.0000 0.0000
Y1 0.0000 0.5000 0.0000
Y2 0.1993 0.2984 0.5978
Y3 0.3990 0.0984 0.2048
Y4 0.4030 0.5984 0.2065
Sc1 0.1946 0.8030 0.5996
```

---

(2)
Entry from the Alexandria database: a geometry-optimized Ho3TlP structure (PBE).

The calculation puts the density at 8.5 g/cm3. The calculation puts the formation enthalpy at 0 K at -0.665 eV per atom.

```
data_Ho3TlP
_chemical_formula_sum 'Ho3 Tl1 P1'
_cell_length_a 5.2200
_cell_length_b 5.2200
_cell_length_c 5.2200
_cell_angle_alpha 90.00
_cell_angle_beta 90.00
_cell_angle_gamma 90.00
_space_group_name_H-M_alt 'P m -3 m'
_space_group_IT_number 221
_space_group_name_Hall '-P 4 2 3'
loop_
_atom_site_label
_atom_site_fract_x
_atom_site_fract_y
_atom_site_fract_z
Ho1 0.0000 0.0000 0.5000
Tl1 0.5000 0.5000 0.5000
P1 0.0000 0.0000 0.0000
```

---

(3)
Entry from the Alexandria database: a geometry-optimized K2SbAu structure (PBE).

The calculation puts the density at 5.3 g/cm3. The uncorrected formation energy comes out at -0.24 eV per atom.

```
data_K2SbAu
_chemical_formula_sum 'K2 Sb1 Au1'
_cell_length_a 3.5722
_cell_length_b 3.5722
_cell_length_c 9.7865
_cell_angle_alpha 90.00
_cell_angle_beta 90.00
_cell_angle_gamma 90.00
_space_group_name_H-M_alt 'P 4/m m m'
_space_group_IT_number 123
_space_group_name_Hall '-P 4 2'
loop_
_atom_site_label
_atom_site_fract_x
_atom_site_fract_y
_atom_site_fract_z
K1 0.0000 0.0000 0.2284
Sb1 0.5000 0.5000 0.5000
Au1 0.5000 0.5000 0.0000
```

---

(4)
Entry from the Alexandria database: a geometry-optimized CsPaHgI6 structure (PBE).

The calculation puts the density at 4.1 g/cm3. The uncorrected formation energy comes out at -0.98 eV per atom.

```
data_CsPaHgI6
_chemical_formula_sum 'Cs2 Pa2 Hg2 I12'
_cell_length_a 9.4094
_cell_length_b 9.4094
_cell_length_c 13.9901
_cell_angle_alpha 90.00
_cell_angle_beta 90.00
_cell_angle_gamma 120.00
_space_group_name_H-M_alt 'P -3 1 c'
_space_group_IT_number 163
_space_group_name_Hall '-P 3 2c'
loop_
_atom_site_label
_atom_site_fract_x
_atom_site_fract_y
_atom_site_fract_z
Cs1 0.3333 0.6667 0.2500
Pa1 0.3333 0.6667 0.7500
Hg1 0.0000 0.0000 0.0000
I1 0.0777 0.4107 0.6270
```

---

(5)
Entry from the Alexandria database: a geometry-optimized SbMo2Pt structure (PBE).

The calculation puts the density at 12.4 g/cm3. The uncorrected formation energy comes out at 0.17 eV per atom.

```
data_SbMo2Pt
_chemical_formula_sum 'Sb2 Mo4 Pt2'
_cell_length_a 5.3587
_cell_length_b 8.4561
_cell_length_c 3.0100
_cell_angle_alpha 90.00
_cell_angle_beta 90.00
_cell_angle_gamma 90.00
_space_group_name_H-M_alt 'C m m m'
_space_group_IT_number 65
_space_group_name_Hall '-C 2 2'
loop_
_atom_site_label
_atom_site_fract_x
_atom_site_fract_y
_atom_site_fract_z
Sb1 0.0000 0.0000 0.0000
Mo1 0.2500 0.2500 0.5000
Pt1 0.0000 0.5000 0.0000
```

---

(6)
Entry from the Alexandria database: a geometry-optimized K3Rh5Br12 structure (PBE).

The calculation puts the density at 4.4 g/cm3. The uncorrected formation energy comes out at -0.51 eV per atom.

```
data_K3Rh5Br12
_chemical_formula_sum 'K24 Rh40 Br96'
_cell_length_a 16.8658
_cell_length_b 16.8658
_cell_length_c 16.8658
_cell_angle_alpha 90.00
_cell_angle_beta 90.00
_cell_angle_gamma 90.00
_space_group_name_H-M_alt 'I a -3 d'
_space_group_IT_number 230
_space_group_name_Hall '-I 4bd 2c 3'
loop_
_atom_site_label
_atom_site_fract_x
_atom_site_fract_y
_atom_site_fract_z
K1 0.0000 0.2500 0.1250
Rh1 0.0000 0.0000 0.0000
Rh2 0.0000 0.2500 0.3750
Br1 0.0337 0.0486 0.6412
```

---

(7)
Entry from the Alexandria database: a geometry-optimized Sm6HgSe3S2 structure (PBE).

The calculation puts the density at 7.6 g/cm3. The uncorrected formation energy comes out at -1.64 eV per atom.

```
data_Sm6HgSe3S2
_chemical_formula_sum 'Sm12 Hg2 Se6 S4'
_cell_length_a 18.1735
_cell_length_b 4.0857
_cell_length_c 8.4892
_cell_angle_alpha 90.00
_cell_angle_beta 103.97
_cell_angle_gamma 90.00
_space_group_name_H-M_alt 'C 1 2/m 1'
_space_group_IT_number 12
loop_
_space_group_symop_operation_xyz
'x,y,z'
'-x,-y,-z'
'-x,y,-z'
'x,-y,z'
'x+1/2,y+1/2,z'
'-x+1/2,-y+1/2,-z'
'-x+1/2,y+1/2,-z'
'x+1/2,-y+1/2,z'
loop_
_atom_site_label
_atom_site_fract_x
_atom_site_fract_y
_atom_site_fract_z
Sm1 0.0053 0.0000 0.2616
Sm2 0.1700 0.5000 0.0977
Sm3 0.1699 0.5000 0.5719
Hg1 0.0000 0.5000 0.0000
Se1 0.0000 0.5000 0.5000
Se2 0.1652 0.0000 0.8309
S1 0.1691 0.0000 0.3358
```

---

(8)
Entry from the Alexandria database: a geometry-optimized Ac4NdAu3 structure (PBE).

The calculation puts the density at 10.3 g/cm3. The calculation puts the formation enthalpy at 0 K at -0.535 eV per atom.

```
data_Ac4NdAu3
_chemical_formula_sum 'Ac4 Nd1 Au3'
_cell_length_a 4.2252
_cell_length_b 4.9652
_cell_length_c 12.6172
_cell_angle_alpha 90.00
_cell_angle_beta 90.00
_cell_angle_gamma 90.00
_space_group_name_H-M_alt 'P m m 2'
_space_group_IT_number 25
loop_
_space_group_symop_operation_xyz
'x,y,z'
'-x,-y,z'
'-x,y,z'
'x,-y,z'
loop_
_atom_site_label
_atom_site_fract_x
_atom_site_fract_y
_atom_site_fract_z
Ac1 0.0000 0.0000 0.0000
Ac2 0.0000 0.5000 0.2597
Ac3 0.5000 0.0000 0.4670
Ac4 0.5000 0.5000 0.7996
Nd1 0.0000 0.0000 0.6951
Au1 0.0000 0.5000 0.5423
Au2 0.5000 0.0000 0.2130
Au3 0.5000 0.5000 0.0591
```